(1)
MgAgBi2 after structural relaxation. Source: Alexandria, functional PBE-GGA.

The structure belongs to space group R-3m (No. 166, hexagonal axes); the cell edges are 3.4413, 3.4413 and 32.7247 Å and the angles 90.00°, 90.00° and 120.00°. The asymmetric unit holds Mg at (0.0000, 0.0000, 0.0000), Ag at (0.0000, 0.0000, 0.5000) and Bi at (0.0000, 0.0000, 0.0931).

As for the density of states at the Fermi level: 0.388 states/eV/atom. The calculation puts the total moment at 0.0000 μB/atom. The calculation puts the energy of formation from the pure elements at 134.2 meV per atom. The total energy is -35.0 eV for the cell shown.


(2)
Mg2AgBi2 after structural relaxation. Source: Alexandria, functional PBE-GGA.

The structure belongs to space group I4/mmm (No. 139); the cell edges are 4.506, 4.506 and 14.592 Å and the angles 90.00°, 90.00° and 90.00°. The asymmetric unit holds Mg at (0.000, 0.000, 0.097), Ag at (0.000, 0.000, 0.500) and Bi at (0.000, 0.500, 0.250).

As for the density of states at the Fermi level: 0.540 states/eV/atom. The calculation puts the total moment at 0.0000 μB/atom. The calculation puts the energy of formation from the pure elements at 215.8 meV per atom. The energy above the lowest structure with this stoichiometry comes out at 0.179 eV per atom. The total energy is -25.4 eV for the cell shown.


(3)
MgAg2Bi2 after structural relaxation. Source: Alexandria, functional PBE-GGA.

The structure belongs to space group P4/mbm (No. 127); the cell edges are 7.490, 7.490 and 4.388 Å and the angles 90.00°, 90.00° and 90.00°. The asymmetric unit holds Mg at (0.000, 0.000, 0.000), Ag at (0.134, 0.366, 0.000) and Bi at (0.173, 0.673, 0.500).

As for the density of states at the Fermi level: 0.323 states/eV/atom. The calculation puts the total moment at 0.0000 μB/atom. The calculation puts the energy of formation from the pure elements at 34.8 meV per atom. The energy above the lowest structure with this stoichiometry comes out at 0.000 eV per atom. The total energy is -29.8 eV for the cell shown.


(4)
MgAgBi3 after structural relaxation. Source: Alexandria, functional PBE-GGA.

The structure belongs to space group Pm-3m (No. 221); the cell edges are 5.543, 5.543 and 5.543 Å and the angles 90.00°, 90.00° and 90.00°. The asymmetric unit holds Mg at (0.000, 0.000, 0.000), Ag at (0.500, 0.500, 0.500) and Bi at (0.000, 0.500, 0.500).

As for the density of states at the Fermi level: 0.817 states/eV/atom. The calculation puts the total moment at 0.0000 μB/atom. The calculation puts the energy of formation from the pure elements at 503.0 meV per atom. The energy above the lowest structure with this stoichiometry comes out at 0.000 eV per atom. The total energy is -13.6 eV for the cell shown.


(5)
Mg2AgBi after structural relaxation. Source: Alexandria, functional PBE-GGA.

The structure belongs to space group I-42d (No. 122); the cell edges are 4.547, 4.547 and 19.591 Å and the angles 90.00°, 90.00° and 90.00°. The asymmetric unit holds Mg at (0.219, 0.250, 0.125), Ag at (0.000, 0.000, 0.000) and Bi at (0.000, 0.000, 0.500).

As for the density of states at the Fermi level: 0.619 states/eV/atom. The calculation puts the total moment at 0.0000 μB/atom. The calculation puts the energy of formation from the pure elements at 52.1 meV per atom. The total energy is -38.9 eV for the cell shown.


(6)
MgAg2Bi2 after structural relaxation. Source: Alexandria, functional PBE-GGA.

The structure belongs to space group I4/mmm (No. 139); the cell edges are 3.874, 3.874 and 17.128 Å and the angles 90.00°, 90.00° and 90.00°. The asymmetric unit holds Mg at (0.000, 0.000, 0.000), Ag at (0.000, 0.500, 0.250) and Bi at (0.000, 0.000, 0.392).

As for the density of states at the Fermi level: 0.412 states/eV/atom. The calculation puts the total moment at 0.0000 μB/atom. The calculation puts the energy of formation from the pure elements at 71.4 meV per atom. The energy above the lowest structure with this stoichiometry comes out at 0.037 eV per atom. The total energy is -29.4 eV for the cell shown.


(7)
MgAgBi2 after structural relaxation. Source: Alexandria, functional PBE-GGA.

The structure belongs to space group R3m (No. 160, hexagonal axes); the cell edges are 4.7015, 4.7015 and 17.9397 Å and the angles 90.00°, 90.00° and 120.00°. The asymmetric unit holds Mg at (0.0000, 0.0000, 0.0000), Ag at (0.0000, 0.0000, 0.1652), Bi at (0.0000, 0.0000, 0.4183) and Bi at (0.0000, 0.0000, 0.5904).

As for the density of states at the Fermi level: 0.466 states/eV/atom. The calculation puts the total moment at 0.0000 μB/atom. The calculation puts the energy of formation from the pure elements at 25.9 meV per atom. The total energy is -36.3 eV for the cell shown.


(8)
NaMgAgBi after structural relaxation. Source: Alexandria, functional PBE-GGA.

The structure belongs to space group F-43m (No. 216); the cell edges are 7.254, 7.254 and 7.254 Å and the angles 90.00°, 90.00° and 90.00°. The asymmetric unit holds Na at (0.000, 0.000, 0.000), Mg at (0.000, 0.000, 0.500), Ag at (0.250, 0.250, 0.750) and Bi at (0.250, 0.250, 0.250).

As for the density of states at the Fermi level: 0.484 states/eV/atom. The calculation puts the total moment at 0.0000 μB/atom. The calculation puts the energy of formation from the pure elements at -136.8 meV per atom. The total energy is -40.8 eV for the cell shown.


(9)
NdMgAgBi after structural relaxation. Source: Alexandria, functional PBE-GGA.

The structure belongs to space group F-43m (No. 216); the cell edges are 7.511, 7.511 and 7.511 Å and the angles 90.00°, 90.00° and 90.00°. The asymmetric unit holds Nd at (0.000, 0.000, 0.000), Mg at (0.000, 0.000, 0.500), Ag at (0.250, 0.250, 0.250) and Bi at (0.250, 0.250, 0.750).

As for the density of states at the Fermi level: 0.871 states/eV/atom. The calculation puts the total moment at 0.0000 μB/atom. The calculation puts the energy of formation from the pure elements at -292.1 meV per atom. The total energy is -57.1 eV for the cell shown.


(10)
MgAgBiO5 after structural relaxation. Source: Alexandria, functional PBE-GGA.

The structure belongs to space group P2_1/c (No. 14); the cell edges are 5.655, 10.728 and 9.380 Å and the angles 90.00°, 122.01° and 90.00°. The asymmetric unit holds Mg at (0.091, 0.062, 0.173), Ag at (0.313, 0.623, 0.033), Bi at (0.415, 0.101, 0.839), O at (0.012, 0.027, 0.667), O at (0.214, 0.696, 0.463), O at (0.267, 0.043, 0.006), O at (0.339, 0.206, 0.285) and O at (0.472, 0.540, 0.833).

The uncorrected formation energy comes out at -91.9 kJ per mole of atoms. The calculation puts the total moment at 0.0000 μB/atom. The total energy is -163.0 eV for the cell shown.


(11)
MgAgBiP2 after structural relaxation. Source: Alexandria, functional PBE-GGA.

The structure belongs to space group P4/mmm (No. 123); the cell edges are 5.344, 5.344 and 5.364 Å and the angles 90.00°, 90.00° and 90.00°. The asymmetric unit holds Mg at (0.000, 0.000, 0.000), Ag at (0.500, 0.500, 0.000), Bi at (0.000, 0.000, 0.500) and P at (0.000, 0.500, 0.500).

As for the density of states at the Fermi level: 0.952 states/eV/atom. The calculation puts the total moment at 0.0000 μB/atom. The calculation puts the energy of formation from the pure elements at 1123.4 meV per atom. The total energy is -13.5 eV for the cell shown.


(12)
MgAgBiPd after structural relaxation. Source: Alexandria, functional PBE-GGA.

The structure belongs to space group F-43m (No. 216); the cell edges are 6.871, 6.871 and 6.871 Å and the angles 90.00°, 90.00° and 90.00°. The asymmetric unit holds Mg at (0.000, 0.000, 0.000), Ag at (0.250, 0.250, 0.750), Bi at (0.000, 0.000, 0.500) and Pd at (0.250, 0.250, 0.250).

As for the density of states at the Fermi level: 0.473 states/eV/atom. The calculation puts the total moment at 0.0000 μB/atom. The calculation puts the energy of formation from the pure elements at -208.1 meV per atom. The total energy is -57.4 eV for the cell shown.